1.
The following is a PBE calculation of CsK2MoS4 after structural relaxation, from Alexandria.

## Properties
The value obtained for the volume is 32.7 Å³ per atom. Its uncorrected formation energy is -0.977 eV per atom. As for the final energy: -4.776 eV/atom.

Unit cell a=7.8581 b=7.8581 c=6.6476 alpha=119.45 beta=119.45 gamma=99.68
Site moments in Bohr magnetons follow the coordinates.
Positions (direct):
S  0.4485  0.7720  0.2205  0.01
S  0.7720  0.4485  0.2205  0.01
S  0.1401  0.1401  0.6342  0.01
S  0.4940  0.4940  0.6342  0.01
K  0.3483  0.8483  0.6966  0.00
K  0.8483  0.3483  0.6966  0.00
Mo  0.4731  0.4731  0.9461  0.72
Cs  0.9760  0.9760  0.9520  0.01

2.
The following is a PBE calculation of CsKMoS4 after structural relaxation, from Alexandria.

## Properties
The value obtained for the volume is 32.9 Å³ per atom. Its uncorrected formation energy is -0.979 eV per atom. As for the final energy: -5.163 eV/atom.

Unit cell a=6.6993 b=7.1252 c=10.3338 alpha=90.00 beta=110.93 gamma=90.00
Positions (direct):
S  0.9668  0.9996  0.2183
S  0.4173  0.7500  0.1908
S  0.0332  0.4996  0.7817
S  0.5827  0.2500  0.8092
S  0.6819  0.2500  0.4851
S  0.0332  0.0004  0.7817
S  0.3181  0.7500  0.5149
S  0.9668  0.5004  0.2183
Mo  0.8296  0.2500  0.7140
Mo  0.1704  0.7500  0.2860
Cs  0.6374  0.7500  0.8958
Cs  0.3626  0.2500  0.1042
K  0.2046  0.2500  0.5081
K  0.7954  0.7500  0.4919

3.
The following is a PBE calculation of CsKMoSe4 after structural relaxation, from Alexandria.

## Properties
The value obtained for the volume is 36.4 Å³ per atom. Its uncorrected formation energy is -0.858 eV per atom. As for the final energy: -4.675 eV/atom.

Unit cell a=6.9394 b=7.3707 c=10.6193 alpha=90.00 beta=110.37 gamma=90.00
Positions (direct):
K  0.2085  0.2500  0.5188
K  0.7915  0.7500  0.4812
Se  0.6715  0.2500  0.4780
Se  0.4084  0.7500  0.1793
Se  0.3285  0.7500  0.5220
Se  0.0433  0.9953  0.7762
Se  0.9567  0.4953  0.2238
Se  0.5916  0.2500  0.8207
Se  0.0433  0.5047  0.7762
Se  0.9567  0.0047  0.2238
Cs  0.3399  0.2500  0.1014
Cs  0.6601  0.7500  0.8986
Mo  0.8322  0.2500  0.7119
Mo  0.1678  0.7500  0.2881

4.
The following is a PBE calculation of CsKMo2W after structural relaxation, from Alexandria.

## Properties
The value obtained for the volume is 32.8 Å³ per atom. As for the final energy: -5.551 eV/atom. As for the energy of formation: 1.76 eV/atom.

Unit cell a=4.9172 b=6.7858 c=4.9172 alpha=90.00 beta=90.00 gamma=90.00
Site moments in Bohr magnetons follow the coordinates.
Positions (direct):
Cs  0.0000  0.5000  0.0000  -0.01
K  0.5000  0.5000  0.5000  0.01
Mo  0.0000  0.0000  0.5000  1.13
Mo  0.5000  0.0000  0.0000  1.78
W  0.0000  0.0000  0.0000  -0.60

5.
The following is a PBE calculation of Cs3KN after structural relaxation, from Alexandria.

## Properties
The calculation puts the excess energy over the best structure of this formula in the dataset at 0.572 eV/atom. The value obtained for the volume is 129.8 Å³ per atom. Its uncorrected formation energy is 1.111 eV per atom. As for the final energy: -1.285 eV/atom.

Unit cell a=8.6587 b=8.6587 c=8.6587 alpha=90.00 beta=90.00 gamma=90.00
Site moments in Bohr magnetons follow the coordinates.
Positions (direct):
Cs  0.0000  0.0000  0.5000  0.00
Cs  0.0000  0.5000  0.0000  -0.01
Cs  0.5000  0.0000  0.0000  0.00
K  0.0000  0.0000  0.0000  0.00
N  0.5000  0.5000  0.5000  1.63

6.
The following is a PBE calculation of CsKN2 after structural relaxation, from Alexandria.

## Properties
The calculation puts the excess energy over the best structure of this formula in the dataset at 0.244 eV/atom. The value obtained for the volume is 30.8 Å³ per atom. Its uncorrected formation energy is 1.652 eV per atom. As for the final energy: -2.999 eV/atom.

Unit cell a=7.8735 b=7.8735 c=7.8735 alpha=32.20 beta=32.20 gamma=32.20
Site moments in Bohr magnetons follow the coordinates.
Positions (direct):
K  0.5000  0.5000  0.5000  0.01
N  0.9038  0.9038  0.9038  0.64
N  0.0962  0.0962  0.0962  0.64
Cs  0.0000  0.0000  0.0000  0.01

7.
The following is a PBE calculation of Cs3KN after structural relaxation, from Alexandria.

## Properties
The calculation puts the excess energy over the best structure of this formula in the dataset at 0.000 eV/atom. The value obtained for the volume is 54.8 Å³ per atom. Its uncorrected formation energy is 0.539 eV per atom. As for the final energy: -1.858 eV/atom.

Unit cell a=6.4951 b=6.4951 c=6.4951 alpha=90.00 beta=90.00 gamma=90.00
Positions (direct):
Cs  0.0000  0.0000  0.5000
Cs  0.0000  0.5000  0.0000
Cs  0.5000  0.0000  0.0000
K  0.5000  0.5000  0.5000
N  0.0000  0.0000  0.0000

8.
The following is a PBE calculation of CsKN4 after structural relaxation, from Alexandria.

## Properties
The value obtained for the volume is 23.5 Å³ per atom. Its uncorrected formation energy is -0.147 eV per atom. As for the final energy: -6.023 eV/atom.

Unit cell a=6.6599 b=6.6599 c=7.9179 alpha=114.87 beta=114.87 gamma=90.00
Site moments in Bohr magnetons follow the coordinates.
Positions (direct):
N  0.2216  0.8830  0.7664  -0.17
N  0.7784  0.1170  0.2336  -0.17
N  0.0448  0.8834  0.7664  -0.17
N  0.3830  0.5448  0.2664  -0.17
N  0.9552  0.1166  0.2336  -0.17
N  0.3834  0.7216  0.2664  -0.17
N  0.6170  0.4552  0.7336  -0.17
N  0.6166  0.2784  0.7336  -0.17
Cs  0.1250  0.3750  0.7500  -0.01
Cs  0.8750  0.6250  0.2500  -0.01
K  0.6250  0.8750  0.7500  -0.02
K  0.3750  0.1250  0.2500  -0.02

9.
The following is a PBE calculation of CsKN2 after structural relaxation, from Alexandria.

## Properties
The calculation puts the excess energy over the best structure of this formula in the dataset at 0.000 eV/atom. The value obtained for the volume is 24.4 Å³ per atom. Its uncorrected formation energy is 1.408 eV per atom. As for the final energy: -3.242 eV/atom.

Unit cell a=5.1667 b=5.1667 c=5.1667 alpha=60.00 beta=60.00 gamma=60.00
Site moments in Bohr magnetons follow the coordinates.
Positions (direct):
Cs  0.5000  0.5000  0.5000  0.06
N  0.7500  0.7500  0.7500  1.29
N  0.2500  0.2500  0.2500  1.29
K  0.0000  0.0000  0.0000  0.01

10.
The following is a PBE calculation of CsKPa4N8 after structural relaxation, from Alexandria.

## Properties
The value obtained for the volume is 19.2 Å³ per atom. Its uncorrected formation energy is -0.871 eV per atom. As for the final energy: -8.481 eV/atom.

Unit cell a=7.1473 b=7.1473 c=7.3489 alpha=60.90 beta=60.90 gamma=60.00
Positions (direct):
Pa  0.6188  0.6188  0.1435
Pa  0.4903  0.0062  0.4973
Pa  0.0062  0.4903  0.4973
Pa  0.0062  0.0062  0.4973
Cs  0.3740  0.3740  0.8780
N  0.7248  0.7248  0.3024
N  0.2536  0.2536  0.6579
N  0.2234  0.2234  0.3297
N  0.2479  0.7248  0.3024
N  0.7417  0.7417  0.7748
N  0.2536  0.8349  0.6579
N  0.7248  0.2479  0.3024
N  0.8349  0.2536  0.6579
K  0.9996  0.9996  0.0013

11.
The following is a PBE calculation of Cs2KPtN after structural relaxation, from Alexandria.

## Properties
The value obtained for the volume is 38.7 Å³ per atom. Its uncorrected formation energy is 0.112 eV per atom. As for the final energy: -3.322 eV/atom.

Unit cell a=7.1255 b=7.1255 c=3.8096 alpha=90.00 beta=90.00 gamma=90.00
Positions (direct):
N  0.0000  0.0000  0.0000
Cs  0.0000  0.5000  0.0000
Cs  0.5000  0.0000  0.0000
K  0.5000  0.5000  0.5000
Pt  0.0000  0.0000  0.5000

12.
The following is a PBE calculation of Cs2KRuN after structural relaxation, from Alexandria.

## Properties
The value obtained for the volume is 35.1 Å³ per atom. Its uncorrected formation energy is 0.430 eV per atom. As for the final energy: -3.652 eV/atom.

Unit cell a=6.7775 b=3.8225 c=6.7775 alpha=90.00 beta=90.00 gamma=90.00
Positions (direct):
Ru  0.0000  0.5000  0.0000
N  0.0000  0.0000  0.0000
K  0.5000  0.5000  0.5000
Cs  0.0000  0.0000  0.5000
Cs  0.5000  0.0000  0.0000

Which formula does entry 3 have? CsKMoSe4

Look up the final energy of the eighth one. -6.023 eV/atom